Below is a relaxed MnMo2F11 crystal, with properties calculated at the PBE+U level.

Unit cell a=7.688 b=9.686 c=10.423 alpha=90.00 beta=90.00 gamma=90.00
Space group Ibam (No. 72)
Asymmetric unit:
Mn1 0.000 0.000 0.250 x4
Mo1 0.139 0.318 0.000 x8
F1 0.000 0.500 0.000 x4
F2 0.098 0.184 0.140 x16
F3 0.133 0.287 0.500 x8
F4 0.235 0.076 0.367 x16

## Properties
The total energy is -5.39 eV/atom. As for the density of states at the Fermi level: 0.189 states/eV per atom. The calculation puts the calculated volume at 13.9 Å³/atom.